Entry 1:
## SrLaHSe2 (PBE-GGA)

Data for a relaxed structure of SrLaHSe2.

Calculated values
E_tot (eV/atom): -4.93
V (Å³/cell): 264.3

Lattice parameters (Å, degrees): 4.275 4.275 14.464 90.00 90.00 90.00
Space group P4/nmm (No. 129, origin choice 2)
Inequivalent atoms, fractional coordinates:
1 Sr 0.250 0.250 0.091 x2
2 La 0.250 0.250 0.630 x2
3 H 0.250 0.750 0.000 x2
4 Se 0.250 0.250 0.405 x2
5 Se 0.250 0.250 0.819 x2

=====

Entry 2:
## La2TeH2Se (PBE-GGA)

Data for a relaxed structure of La2TeH2Se.

Calculated values
E_tot (eV/atom): -5.27
V (Å³/cell): 127.1

Lattice parameters (Å, degrees): 4.1767 4.1767 8.4105 90.00 90.00 120.00
Space group P-3m1 (No. 164)
Inequivalent atoms, fractional coordinates:
1 La 0.3333 0.6667 0.2355 x2
2 Te 0.0000 0.0000 0.5000 x1
3 H 0.3333 0.6667 0.7594 x2
4 Se 0.0000 0.0000 0.0000 x1

=====

Entry 3:
## La3SiH (PBE-GGA)

Data for a relaxed structure of La3SiH.

Calculated values
E_tot (eV/atom): -5.06
V (Å³/cell): 119.3
Distance to the lowest polymorph of the same formula (eV per atom): 0.082

Lattice parameters (Å, degrees): 4.923 4.923 4.923 90.00 90.00 90.00
Space group Pm-3m (No. 221)
Inequivalent atoms, fractional coordinates:
1 La 0.000 0.000 0.500 x3
2 Si 0.500 0.500 0.500 x1
3 H 0.000 0.000 0.000 x1

=====

Entry 4:
## LaSiH3 (PBE-GGA)

Data for a relaxed structure of LaSiH3.

Calculated values
E_tot (eV/atom): -3.69
V (Å³/cell): 80.2
Distance to the lowest polymorph of the same formula (eV per atom): 0.408

Lattice parameters (Å, degrees): 4.312 4.312 4.312 90.00 90.00 90.00
Space group Pm-3m (No. 221)
Inequivalent atoms, fractional coordinates:
1 La 0.000 0.000 0.000 x1
2 Si 0.500 0.500 0.500 x1
3 H 0.000 0.000 0.500 x3